Below is a relaxed FeP3O crystal, with properties calculated at the PBE+U level.

Cell lengths 4.139, 4.139, 4.139 Å; angles 90.00, 90.00, 90.00 degrees
Site moments in Bohr magnetons follow the coordinates.
Atoms (fractional coordinates):
P  0.000  0.000  0.500  0.01
P  0.000  0.500  0.000  0.03
Fe  0.500  0.500  0.500  3.80
P  0.500  0.000  0.000  0.00
O  0.000  0.000  0.000  0.00

**Density**: 3.86 g cm⁻³
**Distance to the lowest polymorph of the same formula**: 0.000 eV/atom
**VASP energy**: -23.15 eV per cell
**Fermi-level density of states**: 0.6818 states/eV/atom